No. 1
AgSn3Pb12 | PBE | optimized geometry Values from VASP.

Symmetry: Pmmm, No. 47
Formation energy from the elements in eV/atom: 0.0579

Geometry as Quantum ESPRESSO input:
```
&SYSTEM
  ibrav = 0, nat = 16, ntyp = 3
/
ATOMIC_SPECIES
Pb 207.20 Pb.upf
Sn 118.71 Sn.upf
Ag 107.87 Ag.upf
CELL_PARAMETERS angstrom
-2.951 1.741 1.014
-3.038 -5.123 -0.044
5.441 -3.414 21.704
ATOMIC_POSITIONS crystal
Pb 0.500 0.500 0.748
Pb 0.000 0.500 0.127
Pb 0.500 0.500 0.000
Pb 0.000 0.500 0.623
Pb 0.500 0.000 0.370
Pb 0.500 0.000 0.110
Pb 0.500 0.500 0.252
Pb 0.000 0.500 0.873
Pb 0.500 0.000 0.890
Pb 0.000 0.500 0.377
Pb 0.500 0.500 0.500
Pb 0.500 0.000 0.630
Sn 0.000 0.000 0.500
Sn 0.000 0.000 0.238
Sn 0.000 0.000 0.762
Ag 0.000 0.000 0.000
```



No. 2
Ag3Sn3Pb | PBE | optimized geometry Values from VASP.

Symmetry: Pm-3n, No. 223
Formation energy from the elements in eV/atom: 0.4410

Geometry as Quantum ESPRESSO input:
```
&SYSTEM
  ibrav = 0, nat = 14, ntyp = 3
/
ATOMIC_SPECIES
Sn 118.71 Sn.upf
Pb 207.20 Pb.upf
Ag 107.87 Ag.upf
CELL_PARAMETERS angstrom
-5.143 1.623 5.430
-4.807 -5.133 -3.019
3.001 -5.440 4.469
ATOMIC_POSITIONS crystal
Sn 0.000 0.750 0.500
Sn 0.250 0.500 0.000
Sn 0.500 0.000 0.750
Sn 0.750 0.500 0.000
Sn 0.500 0.000 0.250
Sn 0.000 0.250 0.500
Pb 0.000 0.000 0.000
Pb 0.500 0.500 0.500
Ag 0.500 0.750 0.000
Ag 0.500 0.250 0.000
Ag 0.250 0.000 0.500
Ag 0.000 0.500 0.250
Ag 0.750 0.000 0.500
Ag 0.000 0.500 0.750
```



No. 3
AgSn2Pb | PBE | optimized geometry Values from VASP.

Symmetry: R-3m, No. 166
Formation energy from the elements in eV/atom: 0.0928

Geometry as Quantum ESPRESSO input:
```
&SYSTEM
  ibrav = 0, nat = 4, ntyp = 3
/
ATOMIC_SPECIES
Pb 207.20 Pb.upf
Sn 118.71 Sn.upf
Ag 107.87 Ag.upf
CELL_PARAMETERS angstrom
3.358 0.000 0.000
1.679 2.908 0.000
1.679 0.969 10.969
ATOMIC_POSITIONS crystal
Pb 0.000 0.000 0.000
Sn 0.097 0.097 0.708
Sn 0.903 0.903 0.292
Ag 0.500 0.500 0.500
```



No. 4
Ag2Sn2Pb | PBE | optimized geometry Values from VASP.

Symmetry: I4/mmm, No. 139
Formation energy from the elements in eV/atom: 0.0904
Energy relative to the lowest polymorph listed for this composition in eV/atom: 0.023

Geometry as Quantum ESPRESSO input:
```
&SYSTEM
  ibrav = 0, nat = 5, ntyp = 3
/
ATOMIC_SPECIES
Ag 107.87 Ag.upf
Pb 207.20 Pb.upf
Sn 118.71 Sn.upf
CELL_PARAMETERS angstrom
4.468 0.000 0.000
0.000 4.468 0.000
2.234 2.234 6.408
ATOMIC_POSITIONS crystal
Ag 0.750 0.250 0.500
Ag 0.250 0.750 0.500
Pb 0.000 0.000 0.000
Sn 0.388 0.388 0.224
Sn 0.612 0.612 0.776
```



No. 5
AgSn2Pb8 | PBE | optimized geometry Values from VASP.

Symmetry: C2/m, No. 12
Formation energy from the elements in eV/atom: 0.1090
Energy relative to the lowest polymorph listed for this composition in eV/atom: 0.060

Geometry as Quantum ESPRESSO input:
```
&SYSTEM
  ibrav = 0, nat = 11, ntyp = 3
/
ATOMIC_SPECIES
Pb 207.20 Pb.upf
Sn 118.71 Sn.upf
Ag 107.87 Ag.upf
CELL_PARAMETERS angstrom
5.918 0.546 0.414
0.830 8.171 0.833
0.830 3.003 7.645
ATOMIC_POSITIONS crystal
Pb 0.047 0.774 0.774
Pb 0.953 0.226 0.226
Pb 0.366 0.357 0.357
Pb 0.215 0.358 0.777
Pb 0.215 0.777 0.358
Pb 0.785 0.223 0.642
Pb 0.634 0.643 0.643
Pb 0.785 0.642 0.223
Sn 0.474 0.888 0.888
Sn 0.526 0.112 0.112
Ag 0.000 0.000 0.000
```



No. 6
AgSnPb2 | PBE | optimized geometry Values from VASP.

Symmetry: P4/mmm, No. 123
Formation energy from the elements in eV/atom: 0.0878

Geometry as Quantum ESPRESSO input:
```
&SYSTEM
  ibrav = 0, nat = 4, ntyp = 3
/
ATOMIC_SPECIES
Ag 107.87 Ag.upf
Pb 207.20 Pb.upf
Sn 118.71 Sn.upf
CELL_PARAMETERS angstrom
4.758 0.000 0.000
0.000 4.774 0.000
0.000 0.000 4.774
ATOMIC_POSITIONS crystal
Ag 0.500 0.500 0.500
Pb 0.000 0.000 0.500
Pb 0.000 0.500 0.000
Sn 0.500 0.000 0.000
```



No. 7
Sr2Ag3Sn4Pb | PBE | optimized geometry Values from VASP.

Symmetry: P-4m2, No. 115
Formation energy from the elements in eV/atom: -0.3044

Geometry as Quantum ESPRESSO input:
```
&SYSTEM
  ibrav = 0, nat = 10, ntyp = 4
/
ATOMIC_SPECIES
Sr 87.62 Sr.upf
Sn 118.71 Sn.upf
Pb 207.20 Pb.upf
Ag 107.87 Ag.upf
CELL_PARAMETERS angstrom
4.731 0.000 0.000
0.000 4.731 0.000
0.000 0.000 12.441
ATOMIC_POSITIONS crystal
Sr 0.000 0.500 0.760
Sr 0.500 0.000 0.240
Sn 0.000 0.500 0.353
Sn 0.500 0.500 0.000
Sn 0.500 0.000 0.647
Sn 0.000 0.000 0.000
Pb 0.500 0.500 0.500
Ag 0.500 0.000 0.866
Ag 0.000 0.000 0.500
Ag 0.000 0.500 0.134
```



No. 8
TbAgSnPb | PBE | optimized geometry Values from VASP.

Symmetry: F-43m, No. 216
Formation energy from the elements in eV/atom: -0.1698

Geometry as Quantum ESPRESSO input:
```
&SYSTEM
  ibrav = 0, nat = 4, ntyp = 4
/
ATOMIC_SPECIES
Pb 207.20 Pb.upf
Ag 107.87 Ag.upf
Sn 118.71 Sn.upf
Tb 158.93 Tb.upf
CELL_PARAMETERS angstrom
-2.282 4.260 -2.199
-4.486 -0.534 -2.789
-4.574 1.863 1.947
ATOMIC_POSITIONS crystal
Pb 0.500 0.500 0.500
Ag 0.750 0.750 0.750
Sn 0.250 0.250 0.250
Tb 0.000 0.000 0.000
```



No. 9
AgSn3Te6Pb2 | PBE | optimized geometry Values from VASP.

Symmetry: C2/m, No. 12
Formation energy from raw total energies in eV per atom: -0.258

Geometry as Quantum ESPRESSO input:
```
&SYSTEM
  ibrav = 0, nat = 12, ntyp = 4
/
ATOMIC_SPECIES
Pb 207.20 Pb.upf
Te 127.60 Te.upf
Sn 118.71 Sn.upf
Ag 107.87 Ag.upf
CELL_PARAMETERS angstrom
4.497 0.000 0.000
0.000 8.958 0.281
-2.248 -2.619 9.471
ATOMIC_POSITIONS crystal
Pb 0.838 0.670 0.675
Pb 0.162 0.330 0.325
Te 0.004 0.762 0.008
Te 0.665 0.588 0.331
Te 0.996 0.238 0.992
Te 0.662 0.073 0.325
Te 0.338 0.927 0.675
Te 0.335 0.412 0.669
Sn 0.170 0.836 0.339
Sn 0.500 0.500 0.000
Sn 0.830 0.164 0.661
Ag 0.500 0.000 0.000
```



No. 10
Ag2SnTePb | PBE | optimized geometry Values from VASP.

Symmetry: P4/mmm, No. 123
Formation energy from raw total energies in eV per atom: 0.448

Geometry as Quantum ESPRESSO input:
```
&SYSTEM
  ibrav = 0, nat = 5, ntyp = 4
/
ATOMIC_SPECIES
Ag 107.87 Ag.upf
Pb 207.20 Pb.upf
Sn 118.71 Sn.upf
Te 127.60 Te.upf
CELL_PARAMETERS angstrom
-0.169 5.178 -0.470
-6.045 -0.062 1.488
1.233 0.497 5.030
ATOMIC_POSITIONS crystal
Ag 0.000 0.000 0.500
Ag 0.500 0.000 0.000
Pb 0.500 0.500 0.500
Sn 0.000 0.500 0.000
Te 0.000 0.000 0.000
```



No. 11
AgSn2Te4Pb | PBE | optimized geometry Values from VASP.

Symmetry: P2/m, No. 10
Formation energy from raw total energies in eV per atom: -0.227

Geometry as Quantum ESPRESSO input:
```
&SYSTEM
  ibrav = 0, nat = 8, ntyp = 4
/
ATOMIC_SPECIES
Te 127.60 Te.upf
Sn 118.71 Sn.upf
Ag 107.87 Ag.upf
Pb 207.20 Pb.upf
CELL_PARAMETERS angstrom
-2.984 -2.310 2.334
-3.692 -1.857 -6.561
2.871 -6.536 -2.799
ATOMIC_POSITIONS crystal
Te 0.000 0.744 0.762
Te 0.500 0.752 0.239
Te 0.000 0.256 0.238
Te 0.500 0.248 0.761
Sn 0.500 0.000 0.500
Sn 0.000 0.000 0.000
Ag 0.500 0.500 0.000
Pb 0.000 0.500 0.500
```



No. 12
ZnAgSnPb2 | PBE | optimized geometry Values from VASP.

Symmetry: P4/mmm, No. 123
Formation energy from the elements in eV/atom: 0.5013

Geometry as Quantum ESPRESSO input:
```
&SYSTEM
  ibrav = 0, nat = 5, ntyp = 4
/
ATOMIC_SPECIES
Sn 118.71 Sn.upf
Ag 107.87 Ag.upf
Pb 207.20 Pb.upf
Zn 65.41 Zn.upf
CELL_PARAMETERS angstrom
-4.463 2.981 -1.612
-0.303 -2.832 -4.400
-3.373 -3.653 2.584
ATOMIC_POSITIONS crystal
Sn 0.000 0.500 0.000
Ag 0.000 0.000 0.000
Pb 0.500 0.000 0.000
Pb 0.000 0.000 0.500
Zn 0.500 0.500 0.500
```



What Fermi-level density of states values result from the calculations? In sequence: 8.471; 4.637; 2.625; 2.062; 5.178; 1.441; 3.069; 3.206; 5.411; 3.934; 3.265; 3.340 states/eV/f.u..